Entry 1:
A relaxed Mg2AsPt crystal, computed with GGA-PBEsol.

Lattice parameters (Å, degrees): 3.004 3.004 7.555 90.00 90.00 90.00
Sites, in units of the cell vectors:
As 0.500 0.500 0.500
Mg 0.000 0.000 0.773
Pt 0.500 0.500 0.000
Mg 0.000 0.000 0.227

Summary:
As for the symmetry: P4/mmm, No. 123.

=====

Entry 2:
A relaxed ZnHg2H crystal, computed with GGA-PBEsol.

Lattice parameters (Å, degrees): 4.538 4.538 4.538 60.00 60.00 60.00
Site moments in Bohr magnetons follow the coordinates.
Sites, in units of the cell vectors:
Hg 0.750 0.750 0.750  0.02
Hg 0.250 0.250 0.250  0.02
H 0.000 0.000 0.000  0.12
Zn 0.500 0.500 0.500  0.01

Summary:
As for the symmetry: Fm-3m, No. 225.

=====

Entry 3:
A relaxed MnAlIr2Pt crystal, computed with GGA-PBEsol.

Lattice parameters (Å, degrees): 4.422 4.419 4.419 90.00 90.00 90.00
Site moments in Bohr magnetons follow the coordinates.
Sites, in units of the cell vectors:
Ir 0.000 0.000 0.500  0.11
Ir 0.000 0.500 0.000  0.11
Mn 0.500 0.500 0.500  4.27
Pt 0.500 0.000 0.000  0.09
Al 0.000 0.000 0.000  -0.01

Summary:
As for the symmetry: P4/mmm, No. 123.

=====

Entry 4:
A relaxed ScMo2Rh crystal, computed with GGA-PBEsol.

Lattice parameters (Å, degrees): 3.013 3.013 8.494 79.78 79.78 60.00
Sites, in units of the cell vectors:
Mo 0.748 0.748 0.756
Sc 0.248 0.248 0.255
Rh 0.496 0.496 0.511
Mo 0.007 0.007 0.979

Summary:
As for the symmetry: R3m, No. 160.

=====

Entry 5:
A relaxed YGeBi2 crystal, computed with GGA-PBEsol.

Lattice parameters (Å, degrees): 8.500 8.500 6.765 128.92 128.92 90.00
Sites, in units of the cell vectors:
Y 0.250 0.750 0.500
Ge 0.750 0.250 0.500
Bi 0.393 0.875 0.250
Bi 0.857 0.375 0.250
Y 0.000 0.000 0.000
Bi 0.625 0.607 0.750
Bi 0.125 0.143 0.750
Ge 0.500 0.500 0.000

Summary:
As for the symmetry: I-42d, No. 122.

=====

Entry 6:
A relaxed YTaMo2 crystal, computed with GGA-PBEsol.

Lattice parameters (Å, degrees): 3.229 4.536 4.888 90.00 90.00 90.00
Sites, in units of the cell vectors:
Y 0.000 0.500 0.500
Mo 0.500 0.000 0.500
Ta 0.500 0.500 0.000
Mo 0.000 0.000 0.000

Summary:
As for the symmetry: Pmmm, No. 47. For the excess energy over the best structure of this formula in the dataset, the calculation gives 0.120 eV per atom.

=====

Entry 7:
A relaxed YCu2Si2 crystal, computed with GGA-PBEsol.

Lattice parameters (Å, degrees): 3.952 3.952 5.668 110.40 110.40 90.00
Sites, in units of the cell vectors:
Cu 0.380 0.380 0.759
Si 0.750 0.250 0.500
Si 0.250 0.750 0.500
Y 0.000 0.000 0.000
Cu 0.620 0.620 0.241

Summary:
The formation energy (no corrections) is -0.48 eV/atom. As for the symmetry: I4/mmm, No. 139.

=====

Entry 8:
A relaxed AsPRh4 crystal, computed with GGA-PBEsol.

Lattice parameters (Å, degrees): 3.937 3.937 6.823 73.23 73.23 60.00
Sites, in units of the cell vectors:
P 0.000 0.000 0.000
Rh 0.878 0.878 0.365
Rh 0.628 0.628 0.117
Rh 0.122 0.122 0.635
As 0.500 0.500 0.500
Rh 0.372 0.372 0.883

Summary:
As for the symmetry: R-3m, No. 166.

=====

no.,DOS(E_F) (states/eV per atom),energy (eV/cell)
1,0.18,-17.73
2,0.32,-4.17
3,1.05,-35.81
4,0.96,-37.78
5,0.61,-42.30
6,1.15,-41.08
7,0.36,-29.39
8,0.31,-47.19